Below is a relaxed structure of Na2LaMoO6, with properties calculated at the GGA+U level.

Lattice parameters (Å, degrees): 5.7827 5.7827 15.0165 90.00 90.00 120.00
Space group R3 (No. 146, hexagonal axes)
Asymmetric unit:
Na  0.0000  0.0000  0.0000 [3 per cell]
Na  0.0000  0.0000  0.4976 [3 per cell]
La  0.0000  0.0000  0.2253 [3 per cell]
Mo  0.0000  0.0000  0.7203 [3 per cell]
O  0.0275  0.4130  0.4468 [9 per cell]
O  0.0877  0.6986  0.2957 [9 per cell]

Summary:
Spin magnetization ... 3.101 μB/cell
Calculated total energy ... -192.58 eV per cell
Calculated density ... 4.32 g/cm³